Version 1
Computed, not measured: a relaxed Ba3InPt3 crystal at the PBE level of DFT.

Results
symmetry: C2/m (12)
DOS at the Fermi energy: 3.17 states/eV/f.u.

a = 4.608 Å, b = 6.570 Å, c = 14.887 Å
α = 85.93°, β = 81.10°, γ = 69.47°
Sites, in units of the cell vectors:
Ba (0.513, 0.347, 0.627)
Ba (0.487, 0.653, 0.373)
Ba (0.261, 0.251, 0.227)
Ba (0.739, 0.749, 0.773)
Ba (0.398, 0.279, 0.925)
Ba (0.602, 0.721, 0.075)
In (0.760, 0.066, 0.413)
In (0.240, 0.934, 0.587)
Pt (0.878, 0.707, 0.536)
Pt (0.122, 0.293, 0.464)
Pt (0.107, 0.864, 0.923)
Pt (0.893, 0.136, 0.077)
Pt (0.944, 0.873, 0.238)
Pt (0.056, 0.127, 0.762)

***

Version 2
Computed, not measured: a relaxed Ba3InPt3 crystal at the PBE level of DFT.

Results
symmetry: P6_3/m (176)
DOS at the Fermi energy: 1.74 states/eV/f.u.

a = 6.375 Å, b = 9.570 Å, c = 9.570 Å
α = 120.00°, β = 90.00°, γ = 90.00°
Sites, in units of the cell vectors:
Ba (0.750, 0.699, 0.641)
Ba (0.750, 0.359, 0.058)
Ba (0.750, 0.942, 0.301)
Ba (0.250, 0.301, 0.359)
Ba (0.250, 0.641, 0.942)
Ba (0.250, 0.058, 0.699)
In (0.250, 0.667, 0.333)
In (0.750, 0.333, 0.667)
Pt (0.250, 0.684, 0.621)
Pt (0.250, 0.379, 0.064)
Pt (0.250, 0.936, 0.316)
Pt (0.750, 0.316, 0.379)
Pt (0.750, 0.621, 0.936)
Pt (0.750, 0.064, 0.684)

***

Question: which arrangement is favored energetically? Ranking from most to least stable: version 1, version 2.

***

Version 1
Computed, not measured: a relaxed BaIn3Pt2 crystal at the PBE level of DFT.

Results
symmetry: C2/m (12)
DOS at the Fermi energy: 2.99 states/eV/f.u.

a = 4.558 Å, b = 9.338 Å, c = 11.356 Å
α = 108.08°, β = 90.00°, γ = 104.12°
Sites, in units of the cell vectors:
Ba (0.159, 0.317, 0.707)
Ba (0.841, 0.683, 0.293)
Ba (0.000, 0.000, 0.000)
In (0.043, 0.085, 0.349)
In (0.957, 0.915, 0.651)
In (0.218, 0.437, 0.392)
In (0.782, 0.563, 0.608)
In (0.629, 0.258, 0.200)
In (0.371, 0.742, 0.800)
In (0.500, 0.000, 0.500)
In (0.329, 0.657, 0.040)
In (0.671, 0.343, 0.960)
Pt (0.199, 0.397, 0.128)
Pt (0.801, 0.603, 0.872)
Pt (0.476, 0.952, 0.222)
Pt (0.524, 0.048, 0.778)
Pt (0.363, 0.726, 0.557)
Pt (0.637, 0.274, 0.443)

***

Version 2
Computed, not measured: a relaxed BaIn3Pt2 crystal at the PBE level of DFT.

Results
symmetry: R-3m (166)
DOS at the Fermi energy: 3.65 states/eV/f.u.

a = 8.886 Å, b = 8.886 Å, c = 7.226 Å
α = 52.06°, β = 52.06°, γ = 60.00°
Sites, in units of the cell vectors:
Ba (0.778, 0.778, 0.666)
Ba (0.222, 0.222, 0.334)
In (0.278, 0.756, 0.210)
In (0.756, 0.278, 0.210)
In (0.756, 0.756, 0.210)
In (0.244, 0.722, 0.790)
In (0.722, 0.244, 0.790)
In (0.244, 0.244, 0.790)
Pt (0.000, 0.000, 0.000)
Pt (0.000, 0.500, 0.000)
Pt (0.500, 0.500, 0.000)
Pt (0.500, 0.000, 0.000)

***

Question: which arrangement is favored energetically? Ranking from most to least stable: version 1, version 2.